No. 1
Compound: Al2BiAs
Source: the Alexandria database
Functional: GGA-PBE
Structure: relaxed

The structure in extended XYZ format:
```
4
Lattice="-0.588 -4.496 2.030 -3.108 -3.275 -2.074 1.799 -4.019 -2.301" Properties=species:S:1:pos:R:3 pbc="T T T"
Al -0.474 -2.947 -0.586
Al -1.422 -8.842 -1.759
Bi -0.948 -5.895 -1.173
As 0.000 0.000 0.000
```

Computed properties:
calculated volume = 21.679 A^3/atom
M_tot = 0.0 μB/f.u.
DFT formation energy = 0.28 eV/atom
density of states at the Fermi level = 1.9 states/eV per cell
calculated density = 6470 kg/m³

***

No. 2
Compound: AlBiAs2
Source: the Alexandria database
Functional: GGA-PBE
Structure: relaxed

The structure in extended XYZ format:
```
8
Lattice="-4.296 -0.618 4.572 3.723 -4.153 2.937 2.289 2.058 6.774" Properties=species:S:1:pos:R:3 pbc="T T T"
As 2.116 -2.194 4.363
As 1.002 -2.393 11.483
As -1.401 -0.355 4.656
As 1.716 -0.484 8.065
Al 2.863 -2.240 6.733
Al -0.286 -2.386 3.755
Bi 0.000 0.000 0.000
Bi -1.146 -0.473 7.550
```

Computed properties:
calculated volume = 29.595 A^3/atom
E above lowest polymorph = 0 meV per atom
M_tot = 0.0 μB/f.u.
DFT formation energy = -0.07 eV/atom
density of states at the Fermi level = 0.7 states/eV per cell
calculated density = 5412 kg/m³

***

No. 3
Compound: Al2BiAs
Source: the Alexandria database
Functional: GGA-PBE
Structure: relaxed

The structure in extended XYZ format:
```
8
Lattice="-1.134 -5.986 -0.104 5.066 -1.016 3.230 -1.196 -2.991 6.683" Properties=species:S:1:pos:R:3 pbc="T T T"
Al 2.361 -8.334 7.631
Al 2.685 -2.347 3.673
Al -0.334 -4.401 2.013
Al 0.760 -4.906 6.301
As 1.966 -3.501 1.563
As 2.918 -3.754 5.738
Bi 0.000 0.000 0.000
Bi -0.182 -6.239 4.071
```

Computed properties:
calculated volume = 28.030 A^3/atom
M_tot = 0.0 μB/f.u.
DFT formation energy = -0.17 eV/atom
density of states at the Fermi level = 0.0 states/eV per cell
calculated density = 5004 kg/m³

***

No. 4
Compound: AlBi2As
Source: the Alexandria database
Functional: GGA-PBE
Structure: relaxed

The structure in extended XYZ format:
```
4
Lattice="-2.635 -4.514 0.042 -3.548 -0.921 3.727 -5.088 -0.067 -1.195" Properties=species:S:1:pos:R:3 pbc="T T T"
Al 0.000 0.000 0.000
Bi -8.453 -4.127 1.930
Bi -2.818 -1.376 0.643
As -5.635 -2.751 1.287
```

Computed properties:
calculated volume = 25.245 A^3/atom
E above lowest polymorph = 29 meV per atom
M_tot = 0.0 μB/f.u.
DFT formation energy = 0.30 eV/atom
density of states at the Fermi level = 2.8 states/eV per cell
calculated density = 8549 kg/m³